No. 1
The following is a PBE calculation of a geometry-optimized Bi2IrRh structure, from Alexandria.

## Properties
The magnetic moment is 0.000 μB per formula unit. Its space group is No. 122. For the calculated formation energy, the calculation gives 1.79 eV per formula unit.

```
data_Bi2IrRh
_chemical_formula_sum 'Bi8 Ir4 Rh4'
_symmetry_space_group_name_H-M 'P 1'
_symmetry_Int_Tables_number 1
_cell_length_a 6.1246
_cell_length_b 6.1246
_cell_length_c 12.1999
_cell_angle_alpha 90.00
_cell_angle_beta 90.00
_cell_angle_gamma 90.00
loop_
_symmetry_equiv_pos_as_xyz
'x,y,z'
loop_
_atom_site_label
_atom_site_type_symbol
_atom_site_fract_x
_atom_site_fract_y
_atom_site_fract_z
Bi1 Bi 0.2492 0.2500 0.1250
Bi2 Bi 0.2500 0.7492 0.3750
Bi3 Bi 0.2500 0.7508 0.8750
Bi4 Bi 0.2508 0.2500 0.6250
Bi5 Bi 0.7492 0.7500 0.6250
Bi6 Bi 0.7500 0.2492 0.8750
Bi7 Bi 0.7500 0.2508 0.3750
Bi8 Bi 0.7508 0.7500 0.1250
Ir1 Ir 0.0000 0.0000 0.5000
Ir2 Ir 0.0000 0.5000 0.7500
Ir3 Ir 0.5000 0.0000 0.2500
Ir4 Ir 0.5000 0.5000 0.0000
Rh1 Rh 0.0000 0.0000 0.0000
Rh2 Rh 0.0000 0.5000 0.2500
Rh3 Rh 0.5000 0.0000 0.7500
Rh4 Rh 0.5000 0.5000 0.5000
```

=====

No. 2
The following is a PBE calculation of a geometry-optimized Bi6IrRh2 structure, from Alexandria.

## Properties
The magnetic moment is 0.000 μB per formula unit. Its space group is No. 14. For the calculated formation energy, the calculation gives -0.16 eV per formula unit.

```
data_Bi6IrRh2
_chemical_formula_sum 'Bi12 Ir2 Rh4'
_symmetry_space_group_name_H-M 'P 1'
_symmetry_Int_Tables_number 1
_cell_length_a 7.1980
_cell_length_b 6.7818
_cell_length_c 11.1945
_cell_angle_alpha 90.00
_cell_angle_beta 124.65
_cell_angle_gamma 90.00
loop_
_symmetry_equiv_pos_as_xyz
'x,y,z'
loop_
_atom_site_label
_atom_site_type_symbol
_atom_site_fract_x
_atom_site_fract_y
_atom_site_fract_z
Bi1 Bi 0.0887 0.0209 0.2362
Bi2 Bi 0.0887 0.4791 0.7362
Bi3 Bi 0.2180 0.1567 0.5718
Bi4 Bi 0.2180 0.3433 0.0718
Bi5 Bi 0.3970 0.6515 0.5781
Bi6 Bi 0.3970 0.8485 0.0781
Bi7 Bi 0.6030 0.1515 0.9219
Bi8 Bi 0.6030 0.3485 0.4219
Bi9 Bi 0.7820 0.6567 0.9282
Bi10 Bi 0.7820 0.8433 0.4282
Bi11 Bi 0.9113 0.5209 0.2638
Bi12 Bi 0.9113 0.9791 0.7638
Ir1 Ir 0.5000 0.0000 0.5000
Ir2 Ir 0.5000 0.5000 0.0000
Rh1 Rh 0.2747 0.6561 0.2617
Rh2 Rh 0.2747 0.8439 0.7617
Rh3 Rh 0.7253 0.1561 0.2383
Rh4 Rh 0.7253 0.3439 0.7383
```